The following is a PBE-GGA calculation of a relaxed Nd2Sm2Mg15 crystal, from Alexandria via LeMat-Bulk.

```
data_Nd2Sm2Mg15
_space_group_name_H-M_alt 'R -3 m'
_space_group_IT_number 166
_space_group_name_Hall '-R 3 2"'
_cell_length_a 10.5948
_cell_length_b 10.5948
_cell_length_c 15.2769
_cell_angle_alpha 90.00
_cell_angle_beta 90.00
_cell_angle_gamma 120.00
loop_
_atom_site_label
_atom_site_type_symbol
_atom_site_fract_x
_atom_site_fract_y
_atom_site_fract_z
Nd1 Nd 0.0000 0.0000 0.1672
Sm1 Sm 0.0000 0.0000 0.4028
Mg1 Mg 0.0000 0.3000 0.5000
Mg2 Mg 0.0000 0.5000 0.0000
Mg3 Mg 0.0094 0.5047 0.6488
```

Results
The formation energy comes out at -1 meV per atom. The calculation puts the volume at 26.05 Å³/atom. The total magnetization comes out at 0.00 μB/f.u.